No. 1
This record from Alexandria describes CaAcHg2 after structural relaxation. The functional is PBE-GGA.

Values from the calculation:
E above lowest polymorph	0.168	eV per atom
energy	-2.055	eV/atom
formation energy	-0.3768	eV/atom

a b c (Å): 4.207 4.207 9.209
angles (deg): 76.80 76.80 60.00
Element x y z (fractional)
Hg: 0.255 0.255 0.234
Hg: 0.078 0.078 0.765
Ca: 0.667 0.667 0.999
Ac: 0.500 0.500 0.501



No. 2
This record from Alexandria describes CaAc2Hg3 after structural relaxation. The functional is PBE-GGA.

Values from the calculation:
E above lowest polymorph	0.020	eV per atom
energy	-2.356	eV/atom
formation energy	-0.5024	eV/atom

a b c (Å): 3.957 3.957 11.999
angles (deg): 90.00 90.00 90.00
Element x y z (fractional)
Hg: 0.000 0.000 0.000
Hg: 0.000 0.000 0.653
Hg: 0.000 0.000 0.347
Ca: 0.500 0.500 0.500
Ac: 0.500 0.500 0.828
Ac: 0.500 0.500 0.172



No. 3
This record from Alexandria describes Ca2AcHg3 after structural relaxation. The functional is PBE-GGA.

Values from the calculation:
E above lowest polymorph	0.000	eV per atom
energy	-2.031	eV/atom
formation energy	-0.5283	eV/atom

a b c (Å): 3.898 5.546 8.667
angles (deg): 108.66 90.00 90.00
Element x y z (fractional)
Hg: 0.500 0.172 0.344
Hg: 0.500 0.828 0.656
Hg: 0.500 0.500 0.000
Ca: 0.000 0.669 0.337
Ca: 0.000 0.331 0.663
Ac: 0.000 0.000 0.000



No. 4
This record from Alexandria describes Ca3AcHg after structural relaxation. The functional is PBE-GGA.

Values from the calculation:
E above lowest polymorph	0.000	eV per atom
energy	-2.268	eV/atom
formation energy	-0.1852	eV/atom

a b c (Å): 4.066 7.970 12.024
angles (deg): 90.00 99.61 90.00
Element x y z (fractional)
Ca: 0.888 0.482 0.278
Ca: 0.112 0.518 0.722
Ca: 0.888 0.018 0.278
Ca: 0.508 0.250 0.515
Ca: 0.112 0.982 0.722
Ca: 0.492 0.750 0.485
Hg: 0.655 0.250 0.810
Hg: 0.345 0.750 0.190
Ac: 0.264 0.250 0.029
Ac: 0.736 0.750 0.971



No. 5
This record from Alexandria describes Ca2AcHg4 after structural relaxation. The functional is PBE-GGA.

Values from the calculation:
energy	-1.711	eV/atom
formation energy	-0.3794	eV/atom

a b c (Å): 5.307 5.307 9.651
angles (deg): 74.04 74.04 60.00
Element x y z (fractional)
Hg: 0.877 0.877 0.369
Hg: 0.123 0.123 0.631
Hg: 0.387 0.387 0.839
Hg: 0.613 0.613 0.161
Ac: 0.000 0.000 0.000
Ca: 0.239 0.239 0.284
Ca: 0.761 0.761 0.716



No. 6
This record from Alexandria describes Ca2AcHg after structural relaxation. The functional is PBE-GGA.

Values from the calculation:
E above lowest polymorph	0.269	eV per atom
energy	-2.088	eV/atom
formation energy	0.0156	eV/atom

a b c (Å): 5.796 5.796 5.796
angles (deg): 60.00 60.00 60.00
Element x y z (fractional)
Ca: 0.750 0.750 0.750
Ca: 0.250 0.250 0.250
Ac: 0.000 0.000 0.000
Hg: 0.500 0.500 0.500



No. 7
This record from Alexandria describes CaAcHg14 after structural relaxation. The functional is PBE-GGA.

Values from the calculation:
energy	-0.848	eV/atom
formation energy	-0.2019	eV/atom

a b c (Å): 6.870 6.870 9.013
angles (deg): 90.00 90.00 90.00
Element x y z (fractional)
Ac: 0.875 0.875 0.500
Hg: 0.375 0.875 0.000
Hg: 0.875 0.375 0.000
Hg: 0.619 0.131 0.760
Hg: 0.619 0.619 0.760
Hg: 0.619 0.619 0.240
Hg: 0.875 0.375 0.500
Hg: 0.619 0.131 0.240
Hg: 0.375 0.375 0.000
Hg: 0.875 0.875 0.000
Hg: 0.131 0.619 0.760
Hg: 0.375 0.875 0.500
Hg: 0.131 0.131 0.240
Hg: 0.131 0.131 0.760
Hg: 0.131 0.619 0.240
Ca: 0.375 0.375 0.500



No. 8
This record from Alexandria describes Ca4AcHg5 after structural relaxation. The functional is PBE-GGA.

Values from the calculation:
energy	-1.894	eV/atom
formation energy	-0.5312	eV/atom

a b c (Å): 3.865 3.865 19.093
angles (deg): 90.00 90.00 90.00
Element x y z (fractional)
Hg: 0.500 0.500 0.888
Hg: 0.500 0.500 0.112
Hg: 0.500 0.500 0.695
Hg: 0.500 0.500 0.305
Hg: 0.500 0.500 0.500
Ca: 0.000 0.000 0.402
Ca: 0.000 0.000 0.598
Ca: 0.000 0.000 0.208
Ca: 0.000 0.000 0.792
Ac: 0.000 0.000 0.000



Repeat the eighth record exactly.
This record from Alexandria describes Ca4AcHg5 after structural relaxation. The functional is PBE-GGA.

Values from the calculation:
energy	-1.894	eV/atom
formation energy	-0.5312	eV/atom

a b c (Å): 3.865 3.865 19.093
angles (deg): 90.00 90.00 90.00
Element x y z (fractional)
Hg: 0.500 0.500 0.888
Hg: 0.500 0.500 0.112
Hg: 0.500 0.500 0.695
Hg: 0.500 0.500 0.305
Hg: 0.500 0.500 0.500
Ca: 0.000 0.000 0.402
Ca: 0.000 0.000 0.598
Ca: 0.000 0.000 0.208
Ca: 0.000 0.000 0.792
Ac: 0.000 0.000 0.000



Please write out number 5 again, unchanged.
This record from Alexandria describes Ca2AcHg4 after structural relaxation. The functional is PBE-GGA.

Values from the calculation:
energy	-1.711	eV/atom
formation energy	-0.3794	eV/atom

a b c (Å): 5.307 5.307 9.651
angles (deg): 74.04 74.04 60.00
Element x y z (fractional)
Hg: 0.877 0.877 0.369
Hg: 0.123 0.123 0.631
Hg: 0.387 0.387 0.839
Hg: 0.613 0.613 0.161
Ac: 0.000 0.000 0.000
Ca: 0.239 0.239 0.284
Ca: 0.761 0.761 0.716



> The lowest energy belongs to which entry?

CaAc2Hg3